[1]
# PBE TaNb2Ge, relaxed
# **Total magnetization**: 0.0 Bohr magnetons per cell
# **Crystal system**: orthorhombic
# **ΔE_f**: -0.085 eV/atom
# **Fermi-level density of states**: 7.73 states/eV/cell
# **Total energy**: -9.24 eV/atom
data_TaNb2Ge
_chemical_formula_sum 'Ta4 Nb8 Ge4'
_symmetry_space_group_name_H-M 'C m c m'
_symmetry_Int_Tables_number 63
_symmetry_space_group_name_Hall '-C 2c 2'
_cell_length_a 8.2171
_cell_length_b 6.5703
_cell_length_c 5.2604
_cell_angle_alpha 90.00
_cell_angle_beta 90.00
_cell_angle_gamma 90.00
loop_
_atom_site_label
_atom_site_fract_x
_atom_site_fract_y
_atom_site_fract_z
Ta1 0.0000 0.1359 0.2500
Nb1 0.2041 0.1700 0.7500
Ge1 0.0000 0.5000 0.0000

[2]
# PBE Ta2NbGe, relaxed
# **Total magnetization**: 0.0 Bohr magnetons per cell
# **Crystal system**: monoclinic
# **ΔE_f**: -0.255 eV/atom
# **Fermi-level density of states**: 4.38 states/eV/cell
# **Total energy**: -9.85 eV/atom
data_Ta2NbGe
_chemical_formula_sum 'Ta4 Nb2 Ge2'
_symmetry_space_group_name_H-M 'P 1 21/m 1'
_symmetry_Int_Tables_number 11
_cell_length_a 3.4917
_cell_length_b 8.1950
_cell_length_c 5.2535
_cell_angle_alpha 90.00
_cell_angle_beta 109.30
_cell_angle_gamma 90.00
loop_
_symmetry_equiv_pos_as_xyz
'x,y,z'
'-x,-y,-z'
'-x,y+1/2,-z'
'x,-y+1/2,z'
loop_
_atom_site_label
_atom_site_fract_x
_atom_site_fract_y
_atom_site_fract_z
Ta1 0.1398 0.0518 0.2780
Nb1 0.4614 0.2500 0.9242
Ge1 0.2495 0.7500 0.4998

[3]
# PBE TaNbGe2, relaxed
# **Energy above the lowest structure with this stoichiometry**: 0.0000 eV per atom
# **Total magnetization**: 0.0 Bohr magnetons per cell
# **Crystal system**: cubic
# **ΔE_f**: -0.047 eV/atom
# **Fermi-level density of states**: 14.59 states/eV/cell
# **Total energy**: -7.84 eV/atom
data_TaNbGe2
_chemical_formula_sum 'Ta4 Nb4 Ge8'
_symmetry_space_group_name_H-M 'F m -3 m'
_symmetry_Int_Tables_number 225
_symmetry_space_group_name_Hall '-F 4 2 3'
_cell_length_a 6.4495
_cell_length_b 6.4495
_cell_length_c 6.4495
_cell_angle_alpha 90.00
_cell_angle_beta 90.00
_cell_angle_gamma 90.00
loop_
_atom_site_label
_atom_site_fract_x
_atom_site_fract_y
_atom_site_fract_z
Ta1 0.0000 0.0000 0.0000
Nb1 0.0000 0.0000 0.5000
Ge1 0.2500 0.2500 0.2500

Among the records above, which one has the lowest Fermi-level density of states? Ta2NbGe